Record 1
# PBE-GGA ScNiBr2, relaxed
# Volume = 303.0 Å³ per cell
# Relative energy among the computed polymorphs = 50.5 kJ/mol of atoms
# Raw formation energy = -0.2515 eV per atom
data_ScNiBr2
_symmetry_space_group_name_H-M 'F m -3 m'
_symmetry_Int_Tables_number 225
_symmetry_space_group_name_Hall '-F 4 2 3'
_cell_length_a 6.7164
_cell_length_b 6.7164
_cell_length_c 6.7164
_cell_angle_alpha 90.00
_cell_angle_beta 90.00
_cell_angle_gamma 90.00
loop_
_atom_site_label
_atom_site_type_symbol
_atom_site_fract_x
_atom_site_fract_y
_atom_site_fract_z
_atom_site_occupancy
Sc1 Sc 0.0000 0.0000 0.0000 1
Ni1 Ni 0.0000 0.0000 0.5000 1
Br1 Br 0.2500 0.2500 0.2500 1

***

Record 2
# PBE-GGA TlNiH8Ir2, relaxed
# Volume = 370.2 Å³ per cell
# DFT total energy = -0.315 Ry per atom
data_TlNiH8Ir2
_symmetry_space_group_name_H-M 'R -3'
_symmetry_Int_Tables_number 148
_symmetry_space_group_name_Hall '-R 3'
_cell_length_a 4.5974
_cell_length_b 4.5974
_cell_length_c 20.2244
_cell_angle_alpha 90.00
_cell_angle_beta 90.00
_cell_angle_gamma 120.00
loop_
_atom_site_label
_atom_site_type_symbol
_atom_site_fract_x
_atom_site_fract_y
_atom_site_fract_z
_atom_site_occupancy
Tl1 Tl 0.0000 0.0000 0.0000 1
Ni1 Ni 0.0000 0.0000 0.5000 1
H1 H 0.0000 0.0000 0.2764 1
H2 H 0.0048 0.3025 0.5519 1
Ir1 Ir 0.0000 0.0000 0.1977 1

***

Record 3
# PBE-GGA RbCaTa, relaxed
# Volume = 260.0 Å³ per cell
# Relative energy among the computed polymorphs = 82.4 kJ/mol of atoms
# ΔE_f = 1.252 eV/atom
data_RbCaTa
_symmetry_space_group_name_H-M 'P -6 m 2'
_symmetry_Int_Tables_number 187
_symmetry_space_group_name_Hall 'P -6 2'
_cell_length_a 5.9798
_cell_length_b 5.9798
_cell_length_c 8.3945
_cell_angle_alpha 90.00
_cell_angle_beta 90.00
_cell_angle_gamma 120.00
loop_
_atom_site_label
_atom_site_type_symbol
_atom_site_fract_x
_atom_site_fract_y
_atom_site_fract_z
_atom_site_occupancy
Rb1 Rb 0.0000 0.0000 0.0000 1
Rb2 Rb 0.0000 0.0000 0.5000 1
Ca1 Ca 0.6667 0.3333 0.2058 1
Ta1 Ta 0.3333 0.6667 0.1354 1

***

Record 4
# PBE-GGA Cd2HIr, relaxed
# Volume = 297.9 Å³ per cell
# Relative energy among the computed polymorphs = 14.6 kJ/mol of atoms
data_Cd2HIr
_symmetry_space_group_name_H-M 'I -4 2 d'
_symmetry_Int_Tables_number 122
_symmetry_space_group_name_Hall 'I -4 2bw'
_cell_length_a 5.1538
_cell_length_b 5.1538
_cell_length_c 11.2153
_cell_angle_alpha 90.00
_cell_angle_beta 90.00
_cell_angle_gamma 90.00
loop_
_atom_site_label
_atom_site_type_symbol
_atom_site_fract_x
_atom_site_fract_y
_atom_site_fract_z
_atom_site_occupancy
Cd1 Cd 0.1384 0.2500 0.1250 1
H1 H 0.0000 0.0000 0.0000 1
Ir1 Ir 0.0000 0.0000 0.5000 1

***

Record 5
# PBE-GGA Hg2Pd2Au, relaxed
# Volume = 192.0 Å³ per cell
# Relative energy among the computed polymorphs = 7.5 kJ/mol of atoms
# ΔE_f = 0.006 eV/atom
data_Hg2Pd2Au
_symmetry_space_group_name_H-M 'P 4/m b m'
_symmetry_Int_Tables_number 127
_symmetry_space_group_name_Hall '-P 4 2ab'
_cell_length_a 7.8987
_cell_length_b 7.8987
_cell_length_c 3.0774
_cell_angle_alpha 90.00
_cell_angle_beta 90.00
_cell_angle_gamma 90.00
loop_
_atom_site_label
_atom_site_type_symbol
_atom_site_fract_x
_atom_site_fract_y
_atom_site_fract_z
_atom_site_occupancy
Hg1 Hg 0.1627 0.3373 0.0000 1
Pd1 Pd 0.1337 0.6337 0.5000 1
Au1 Au 0.0000 0.0000 0.0000 1

***

Record 6
# PBE-GGA Y7Sc5, relaxed
# Volume = 709.1 Å³ per cell
# ΔE_f = 0.179 eV/atom
data_Y7Sc5
_symmetry_space_group_name_H-M 'C 1 2/m 1'
_symmetry_Int_Tables_number 12
_cell_length_a 9.4040
_cell_length_b 5.4392
_cell_length_c 14.2129
_cell_angle_alpha 90.00
_cell_angle_beta 102.74
_cell_angle_gamma 90.00
loop_
_symmetry_equiv_pos_as_xyz
'x,y,z'
'-x,-y,-z'
'-x,y,-z'
'x,-y,z'
'x+1/2,y+1/2,z'
'-x+1/2,-y+1/2,-z'
'-x+1/2,y+1/2,-z'
'x+1/2,-y+1/2,z'
loop_
_atom_site_label
_atom_site_type_symbol
_atom_site_fract_x
_atom_site_fract_y
_atom_site_fract_z
_atom_site_occupancy
Y1 Y 0.0000 0.0000 0.0000 1
Y2 Y 0.0689 0.5000 0.7116 1
Y3 Y 0.1907 0.0000 0.5734 1
Y4 Y 0.2244 0.5000 0.1699 1
Sc1 Sc 0.0000 0.5000 0.5000 1
Sc2 Sc 0.1056 0.0000 0.3124 1
Sc3 Sc 0.1476 0.5000 0.9440 1

***

Record 7
# PBE-GGA Pm3Al2Ge3, relaxed
# Volume = 718.2 Å³ per cell
# Relative energy among the computed polymorphs = 0.0 kJ/mol of atoms
# ΔE_f = -0.675 eV/atom
data_Pm3Al2Ge3
_symmetry_space_group_name_H-M 'C m c m'
_symmetry_Int_Tables_number 63
_symmetry_space_group_name_Hall '-C 2c 2'
_cell_length_a 4.2418
_cell_length_b 11.4207
_cell_length_c 14.8243
_cell_angle_alpha 90.00
_cell_angle_beta 90.00
_cell_angle_gamma 90.00
loop_
_atom_site_label
_atom_site_type_symbol
_atom_site_fract_x
_atom_site_fract_y
_atom_site_fract_z
_atom_site_occupancy
Pm1 Pm 0.0000 0.0629 0.1134 1
Pm2 Pm 0.0000 0.3550 0.2500 1
Al1 Al 0.0000 0.2237 0.6030 1
Ge1 Ge 0.0000 0.3609 0.7500 1
Ge2 Ge 0.0000 0.3786 0.0410 1

***

Record 8
# PBE-GGA SmPuAl2O8, relaxed
# Volume = 311.7 Å³ per cell
# Raw formation energy = -2.5966 eV per atom
data_SmPuAl2O8
_symmetry_space_group_name_H-M 'I -4 m 2'
_symmetry_Int_Tables_number 119
_symmetry_space_group_name_Hall 'I -4 -2'
_cell_length_a 6.9534
_cell_length_b 6.9534
_cell_length_c 6.4473
_cell_angle_alpha 90.00
_cell_angle_beta 90.00
_cell_angle_gamma 90.00
loop_
_atom_site_label
_atom_site_type_symbol
_atom_site_fract_x
_atom_site_fract_y
_atom_site_fract_z
_atom_site_occupancy
Sm1 Sm 0.0000 0.0000 0.0000 1
Pu1 Pu 0.0000 0.5000 0.7500 1
Al1 Al 0.0000 0.0000 0.5000 1
Al2 Al 0.0000 0.5000 0.2500 1
O1 O 0.0000 0.1975 0.6773 1
O2 O 0.0000 0.3248 0.0544 1